one:
An optimized crystal structure of ErThIr2. Source: Alexandria, functional GGA-PBE.

The structure in POSCAR format:
```
ErThIr2
1.0
-3.3205 1.3170 1.9372
-0.3572 -0.5334 4.0126
1.6771 6.0655 3.0132
Ir Th Er
2 1 1
Cartesian
-0.5154 1.6818 2.2353
-1.4852 5.1673 6.7276
-1.0003 3.4245 4.4815
0.0000 0.0000 0.0000
```

Properties
total magnetic moment = 0.0 μB/cell


two:
An optimized crystal structure of ErThIr2. Source: Alexandria, functional GGA-PBE.

The structure in POSCAR format:
```
ErThIr2
1.0
3.5120 0.0000 0.0000
0.0000 4.9391 0.0000
0.0000 0.0000 4.9391
Er Ir Th
1 2 1
Cartesian
1.7560 0.0000 0.0000
0.0000 2.4696 0.0000
0.0000 0.0000 2.4696
1.7560 2.4696 2.4696
```

Properties
total magnetic moment = 0.0 μB/cell


Stability verdict: two, ahead by 65 meV/atom


one:
An optimized crystal structure of ErTiIr2. Source: Alexandria, functional GGA-PBE.

The structure in POSCAR format:
```
ErTiIr2
1.0
3.0920 0.0000 0.0000
0.0000 3.0920 0.0000
0.0000 0.0000 7.2101
Ti Ir Er
1 2 1
Cartesian
1.5460 1.5460 0.0000
0.0000 0.0000 5.6723
0.0000 0.0000 1.5379
1.5460 1.5460 3.6051
```

Properties
total magnetic moment = 0.0 μB/cell


two:
An optimized crystal structure of ErTiIr2. Source: Alexandria, functional GGA-PBE.

The structure in POSCAR format:
```
ErTiIr2
1.0
4.6106 0.0000 0.0000
2.3053 3.9929 0.0000
2.3053 1.3310 3.7646
Ir Er Ti
2 1 1
Cartesian
2.3053 1.3310 0.9411
6.9159 3.9929 2.8234
0.0000 0.0000 0.0000
4.6106 2.6619 1.8823
```

Properties
total magnetic moment = 0.0 μB/cell


Stability verdict: one, ahead by 128 meV/atom


one:
An optimized crystal structure of Er2TlIr. Source: Alexandria, functional GGA-PBE.

The structure in POSCAR format:
```
Er2TlIr
1.0
3.5007 0.0000 0.0000
0.0000 3.5007 0.0000
0.0000 0.0000 7.5863
Er Ir Tl
2 1 1
Cartesian
0.0000 0.0000 5.9718
0.0000 0.0000 1.6146
1.7504 1.7504 0.0000
1.7504 1.7504 3.7932
```

Properties
total magnetic moment = 0.0 μB/cell


two:
An optimized crystal structure of Er2TlIr. Source: Alexandria, functional GGA-PBE.

The structure in POSCAR format:
```
Er2TlIr
1.0
3.9423 0.0000 0.0000
1.9712 3.4142 0.0000
1.9712 1.1381 9.4659
Er Tl Ir
2 1 1
Cartesian
1.9712 1.1381 6.2131
5.9135 3.4142 3.2527
0.0000 0.0000 0.0000
3.9423 2.2761 4.7329
```

Properties
total magnetic moment = 0.0 μB/cell


Stability verdict: one, ahead by 238 meV/atom


one:
An optimized crystal structure of Er2TlIr. Source: Alexandria, functional GGA-PBE.

The structure in POSCAR format:
```
Er2TlIr
1.0
-3.2177 -2.2284 -3.1968
0.3518 -4.9622 -0.8895
-3.5450 -3.1406 1.7629
Er Ir Tl
2 1 1
Cartesian
-4.8082 -7.7484 -1.7425
-1.6027 -2.5828 -0.5808
-3.2055 -5.1656 -1.1617
0.0000 0.0000 0.0000
```

Properties
total magnetic moment = 0.0 μB/cell


two:
An optimized crystal structure of Er2TlIr. Source: Alexandria, functional GGA-PBE.

The structure in POSCAR format:
```
Er2TlIr
1.0
4.0042 0.0000 0.0000
2.0021 3.4677 0.0000
2.0021 1.1559 7.8415
Er Ir Tl
2 1 1
Cartesian
2.0021 1.1559 6.3616
2.0021 1.1559 1.4794
4.0042 2.3118 0.0168
4.0042 2.3118 3.9044
```

Properties
total magnetic moment = 0.0 μB/cell


Stability verdict: two, ahead by 21 meV/atom


one:
An optimized crystal structure of Er4TlIr2. Source: Alexandria, functional GGA-PBE.

The structure in POSCAR format:
```
Er4TlIr2
1.0
-5.7086 -1.0931 -4.8968
-1.0168 -4.5060 6.0352
0.1549 7.2384 2.3115
Er Ir Tl
8 4 2
Cartesian
-4.3805 4.2004 -0.2292
-1.1972 0.9578 2.6297
-3.9996 3.2110 3.8817
-2.9007 0.8461 -1.2573
-4.1207 -0.4247 2.7804
-1.7393 -1.3430 5.6059
-1.5698 4.7304 2.2737
-0.5111 2.7110 5.3231
-5.0353 2.0697 -2.4658
-2.9237 1.1060 5.2693
-3.2123 2.2266 1.2719
-1.9698 -2.1235 2.8243
-4.7512 -1.2632 -0.0771
0.0000 0.0000 0.0000
```

Properties
total magnetic moment = 0.0 μB/cell


two:
An optimized crystal structure of Er4TlIr2. Source: Alexandria, functional GGA-PBE.

The structure in POSCAR format:
```
Er4TlIr2
1.0
4.4102 0.0000 0.0000
2.2051 3.8193 0.0000
2.2051 1.2731 10.9735
Ir Er Tl
2 4 1
Cartesian
2.2051 1.2731 7.6297
6.6152 3.8193 3.3438
4.4102 2.5462 8.9250
2.2051 1.2731 4.4214
4.4102 2.5462 2.0484
6.6153 3.8193 6.5521
0.0000 0.0000 0.0000
```

Properties
total magnetic moment = 0.0 μB/cell


Stability verdict: two, ahead by 53 meV/atom


one:
An optimized crystal structure of Er4TlIr. Source: Alexandria, functional GGA-PBE.

The structure in POSCAR format:
```
Er4TlIr
1.0
6.8319 0.0000 -0.0479
0.0000 6.9727 0.0000
-0.1362 0.0000 7.4848
Er Tl Ir
8 2 2
Cartesian
2.5509 5.9915 1.3877
2.2029 2.3807 2.7069
4.1447 0.9812 6.0492
0.7288 2.5052 6.0731
1.0769 5.8671 4.7539
4.4928 4.5920 4.7299
5.9669 4.4676 1.3637
5.6188 1.1056 2.6830
3.4159 3.4864 -0.0240
0.0000 0.0000 0.0000
-0.0681 3.4864 3.7424
3.3478 0.0000 3.7184
```

Properties
total magnetic moment = 0.0 μB/cell


two:
An optimized crystal structure of Er4TlIr. Source: Alexandria, functional GGA-PBE.

The structure in POSCAR format:
```
Er4TlIr
1.0
8.3118 0.0000 4.7988
2.7706 7.8364 4.7988
0.0000 0.0000 9.5977
Er Ir Tl
16 4 4
Cartesian
3.8285 6.3403 6.6312
9.3696 4.3815 16.2285
2.1159 1.4962 9.5977
7.2539 1.4961 12.5641
5.5412 6.2516 9.5977
7.2541 7.3732 16.2285
7.2541 7.3732 12.5644
8.9665 6.3403 9.5977
9.3696 4.3815 12.5644
7.2539 1.4961 6.6312
6.1963 4.3815 14.3965
4.4413 3.1404 7.6925
7.7412 3.1404 9.5977
3.8285 6.3403 12.5641
4.4413 3.1404 11.5028
10.4273 7.3732 14.3965
5.5412 1.3616 9.5976
6.7464 4.7704 11.6851
6.7464 4.7704 7.5102
3.1308 4.7704 9.5976
2.7706 3.9875 4.7988
1.8144 1.2830 6.4550
1.8144 1.2830 3.1426
4.6830 1.2830 4.7988
```

Properties
total magnetic moment = 0.0 μB/cell


Stability verdict: two, ahead by 195 meV/atom